This record from the Alexandria database describes a relaxed structure of Mo2RuAu. The functional is PBE.

a = 4.9347 Å, b = 4.9347 Å, c = 4.6822 Å
α = 101.41°, β = 101.41°, γ = 34.58°
Positions (direct):
Mo  0.2452  0.2452  0.2274
Mo  0.7548  0.7548  0.7726
Ru  0.5000  0.5000  0.0000
Au  0.0000  0.0000  0.5000

Results
Formation energy: 0.245 eV/atom
Offset from the most stable computed form: 0.1544 eV per atom